No. 1
First-principles (GGA-PBEsol) data for a geometry-optimized LaPt2Au structure, as listed in Alexandria via LeMat-Bulk.

energy of formation	-2.8	eV per formula unit
size of the total moment	0.0	μB per cell
E	-6.50	eV/atom
mass density	15.88	g/cm3

abc: 4.1154 4.1154 8.9636
angles: 90.00 90.00 90.00
With the nearest neighbours (Å) after each atom.
Space group I-4m2 (No. 119)
Symmetry-distinct sites (fractional):
La  0.0000  0.0000  0.0000 x2  8 Pt 2.91-3.04, 4 Au 3.04
Pt  0.0000  0.0000  0.5000 x2  4 La 2.91, 4 Pt 3.04, 4 Au 3.04
Pt  0.0000  0.5000  0.2500 x2  4 Au 2.91, 4 La 3.04, 4 Pt 3.04
Au  0.0000  0.5000  0.7500 x2  8 Pt 2.91-3.04, 4 La 3.04


No. 2
First-principles (GGA-PBEsol) data for a geometry-optimized LaRe2Au structure, as listed in Alexandria via LeMat-Bulk.

energy of formation	2.3	eV per formula unit
size of the total moment	0.0	μB per cell
E	-8.42	eV/atom
mass density	15.31	g/cm3

abc: 3.2543 4.9707 4.7540
angles: 90.00 92.96 90.00
With the nearest neighbours (Å) after each atom.
Space group P2/m (No. 10)
Symmetry-distinct sites (fractional):
La  0.0000  0.0000  0.0000 x1  4 Au 2.81-2.95, 4 Re 2.97
Re  0.3359  0.5000  0.7593 x2  2 Re 2.48-2.74
Au  0.5000  0.0000  0.5000 x1  4 La 2.81-2.95, 4 Re 2.84


No. 3
First-principles (GGA-PBEsol) data for a geometry-optimized LaRe2Au structure, as listed in Alexandria via LeMat-Bulk.

energy of formation	1.8	eV per formula unit
size of the total moment	0.0	μB per cell
E	-8.52	eV/atom
mass density	16.34	g/cm3

abc: 3.2028 4.6766 9.6131
angles: 90.00 90.00 90.00
With the nearest neighbours (Å) after each atom.
Space group Cmm2 (No. 35)
Symmetry-distinct sites (fractional):
La  0.0000  0.0000  0.0000 x2  4 La 2.83, 2 Re 3.03, 2 Au 3.17
Re  0.0000  0.0000  0.4735 x2  6 Re 2.55-2.83, 2 Au 2.82
Re  0.0000  0.5000  0.2673 x2  6 Re 2.55-2.83
Au  0.0000  0.5000  0.7150 x2  2 Re 2.82, 4 Au 2.83


No. 4
First-principles (GGA-PBEsol) data for a geometry-optimized LaRh2Au2 structure, as listed in Alexandria via LeMat-Bulk.

energy of formation	-1.1	eV per formula unit
size of the total moment	0.0	μB per cell
E	-6.11	eV/atom
mass density	12.61	g/cm3

abc: 3.9317 3.9317 12.5833
angles: 90.00 90.00 90.00
With the nearest neighbours (Å) after each atom.
Space group I4/mmm (No. 139)
Symmetry-distinct sites (fractional):
La  0.0000  0.0000  0.0000 x2  8 Au 3.08
Rh  0.0000  0.5000  0.2500 x4  4 Au 2.68, 4 Rh 2.78
Au  0.0000  0.0000  0.3947 x4  1 Au 2.65, 4 Rh 2.68


No. 5
First-principles (GGA-PBEsol) data for a geometry-optimized LaRh3Au structure, as listed in Alexandria via LeMat-Bulk.

energy of formation	3.8	eV per formula unit
size of the total moment	0.5	μB per cell
E	-5.98	eV/atom
mass density	9.65	g/cm3

abc: 4.8045 4.8045 4.8045
angles: 90.00 90.00 90.00
With the nearest neighbours (Å) after each atom.
Space group Pm-3m (No. 221)
Symmetry-distinct sites (fractional):
La  0.0000  0.0000  0.0000 x1  12 Rh 3.40
Rh  0.0000  0.5000  0.5000 x3  2 Au 2.40
Au  0.5000  0.5000  0.5000 x1  6 Rh 2.40


No. 6
First-principles (GGA-PBEsol) data for a geometry-optimized LaRhAu2 structure, as listed in Alexandria via LeMat-Bulk.

energy of formation	-2.3	eV per formula unit
size of the total moment	0.0	μB per cell
E	-5.90	eV/atom
mass density	13.90	g/cm3

abc: 3.9982 3.9982 9.5039
angles: 90.00 90.00 90.00
With the nearest neighbours (Å) after each atom.
Space group I4/mmm (No. 139)
Symmetry-distinct sites (fractional):
La  0.0000  0.0000  0.0000 x2  4 Rh 2.83, 8 Au 3.11
Rh  0.0000  0.0000  0.5000 x2  4 La 2.83, 8 Au 3.11
Au  0.0000  0.5000  0.2500 x4  4 Au 2.83, 4 La 3.11, 4 Rh 3.11


No. 7
First-principles (GGA-PBEsol) data for a geometry-optimized LaRhAu2 structure, as listed in Alexandria via LeMat-Bulk.

energy of formation	-1.6	eV per formula unit
size of the total moment	0.0	μB per cell
E	-5.73	eV/atom
mass density	13.17	g/cm3

abc: 3.8332 3.8332 5.4561
angles: 90.00 90.00 90.00
With the nearest neighbours (Å) after each atom.
Space group P4/mmm (No. 123)
Symmetry-distinct sites (fractional):
La  0.0000  0.0000  0.0000 x1  2 Rh 2.73
Rh  0.0000  0.0000  0.5000 x1  2 La 2.73, 8 Au 3.01
Au  0.5000  0.5000  0.2603 x2  2 Au 2.62-2.84


No. 8
First-principles (GGA-PBEsol) data for a geometry-optimized LaRhAu2 structure, as listed in Alexandria via LeMat-Bulk.

energy of formation	-1.5	eV per formula unit
size of the total moment	0.0	μB per cell
E	-5.71	eV/atom
mass density	13.50	g/cm3

abc: 6.7887 6.7887 6.7887
angles: 90.00 90.00 90.00
With the nearest neighbours (Å) after each atom.
Space group F-43m (No. 216)
Symmetry-distinct sites (fractional):
La  0.0000  0.0000  0.0000 x4  4 Au 2.94, 4 Rh 2.94
Rh  0.2500  0.2500  0.7500 x4  4 La 2.94, 4 Au 2.94
Au  0.0000  0.0000  0.5000 x4  4 Rh 2.94, 4 Au 2.94
Au  0.2500  0.2500  0.2500 x4  4 La 2.94, 4 Au 2.94


No. 9
First-principles (GGA-PBEsol) data for a geometry-optimized LaZn2RhAu structure, as listed in Alexandria via LeMat-Bulk.

energy of formation	5.9	eV per formula unit
size of the total moment	0.0	μB per cell
E	-2.94	eV/atom
mass density	6.58	g/cm3

abc: 5.5269 5.5269 4.7028
angles: 90.00 90.00 90.00
With the nearest neighbours (Å) after each atom.
Space group P4/mmm (No. 123)
Symmetry-distinct sites (fractional):
La  0.0000  0.0000  0.0000 x1  2 Rh 2.35
Zn  0.0000  0.5000  0.0000 x2  2 La 2.76
Rh  0.0000  0.0000  0.5000 x1  2 La 2.35
Au  0.5000  0.5000  0.5000 x1  8 Zn 3.63, 4 Rh 3.91


No. 10
First-principles (GGA-PBEsol) data for a geometry-optimized LaRuAu2 structure, as listed in Alexandria via LeMat-Bulk.

energy of formation	-0.9	eV per formula unit
size of the total moment	0.0	μB per cell
E	-6.06	eV/atom
mass density	12.16	g/cm3

abc: 4.5922 4.5922 14.2239
angles: 90.00 90.00 120.00
With the nearest neighbours (Å) after each atom.
Space group R3m (No. 160, hexagonal axes)
Symmetry-distinct sites (fractional):
La  0.0000  0.0000  0.0000 x3  1 Ru 2.58
Ru  0.0000  0.0000  0.8187 x3  1 La 2.58, 6 Au 2.65-2.77
Au  0.0000  0.0000  0.2092 x3  3 Ru 2.77, 3 Au 2.82, 1 La 2.98
Au  0.0000  0.0000  0.4755 x3  3 Ru 2.65, 3 Au 2.82


No. 11
First-principles (GGA-PBEsol) data for a geometry-optimized LaRuAu2 structure, as listed in Alexandria via LeMat-Bulk.

energy of formation	1.5	eV per formula unit
size of the total moment	2.5	μB per cell
E	-5.48	eV/atom
mass density	14.23	g/cm3

abc: 2.9331 2.9331 29.7818
angles: 90.00 90.00 120.00
With the nearest neighbours (Å) after each atom.
Space group R-3m (No. 166, hexagonal axes)
Symmetry-distinct sites (fractional):
La  0.0000  0.0000  0.0000 x3  6 La 2.93, 6 Au 3.24
Ru  0.0000  0.0000  0.5000 x3  6 Au 2.77, 6 Ru 2.93
Au  0.0000  0.0000  0.2405 x6  3 Ru 2.77, 6 Au 2.93


No. 12
First-principles (GGA-PBEsol) data for a geometry-optimized La2RuAu structure, as listed in Alexandria via LeMat-Bulk.

energy of formation	-1.3	eV per formula unit
size of the total moment	0.0	μB per cell
E	-6.53	eV/atom
mass density	9.20	g/cm3

abc: 4.0900 4.0900 21.5186
angles: 90.00 90.00 120.00
With the nearest neighbours (Å) after each atom.
Space group R-3m (No. 166, hexagonal axes)
Symmetry-distinct sites (fractional):
La  0.0000  0.0000  0.2389 x6  3 Ru 2.83, 3 Au 3.12
Ru  0.0000  0.0000  0.5000 x3  6 La 2.83
Au  0.0000  0.0000  0.0000 x3  6 La 3.12


No. 13
First-principles (GGA-PBEsol) data for a geometry-optimized La2RuAu structure, as listed in Alexandria via LeMat-Bulk.

energy of formation	-1.5	eV per formula unit
size of the total moment	0.0	μB per cell
E	-6.57	eV/atom
mass density	10.22	g/cm3

abc: 7.2058 7.2058 7.2058
angles: 90.00 90.00 90.00
With the nearest neighbours (Å) after each atom.
Space group Fm-3m (No. 225)
Symmetry-distinct sites (fractional):
La  0.2500  0.2500  0.2500 x8  4 Ru 3.12, 4 Au 3.12
Ru  0.0000  0.0000  0.0000 x4  8 La 3.12
Au  0.0000  0.0000  0.5000 x4  8 La 3.12


No. 14
First-principles (GGA-PBEsol) data for a geometry-optimized La2RuAu structure, as listed in Alexandria via LeMat-Bulk.

energy of formation	-1.7	eV per formula unit
size of the total moment	0.0	μB per cell
E	-6.61	eV/atom
mass density	10.14	g/cm3

abc: 3.4346 3.6908 7.4829
angles: 90.00 96.38 90.00
With the nearest neighbours (Å) after each atom.
Space group P2/m (No. 10)
Symmetry-distinct sites (fractional):
La  0.0637  0.0000  0.2702 x2  2 Ru 2.83
Ru  0.5000  0.5000  0.5000 x1  4 La 2.83
Au  0.5000  0.5000  0.0000 x1  8 La 3.22-3.23, 2 Au 3.43


No. 15
First-principles (GGA-PBEsol) data for a geometry-optimized La2RuAu structure, as listed in Alexandria via LeMat-Bulk.

energy of formation	-1.5	eV per formula unit
size of the total moment	0.0	μB per cell
E	-6.56	eV/atom
mass density	10.21	g/cm3

abc: 5.1107 5.1107 3.5871
angles: 90.00 90.00 90.00
With the nearest neighbours (Å) after each atom.
Space group P4/mmm (No. 123)
Symmetry-distinct sites (fractional):
La  0.0000  0.5000  0.0000 x2  4 Ru 3.12, 4 Au 3.12
Ru  0.0000  0.0000  0.5000 x1  8 La 3.12
Au  0.5000  0.5000  0.5000 x1  8 La 3.12


No. 16
First-principles (GGA-PBEsol) data for a geometry-optimized LaRuAu structure, as listed in Alexandria via LeMat-Bulk.

energy of formation	0.2	eV per formula unit
size of the total moment	0.0	μB per cell
E	-6.41	eV/atom
mass density	10.80	g/cm3

abc: 6.4530 6.4530 6.4530
angles: 90.00 90.00 90.00
With the nearest neighbours (Å) after each atom.
Space group F-43m (No. 216)
Symmetry-distinct sites (fractional):
La  0.0000  0.0000  0.0000 x4  4 Ru 2.79
Ru  0.2500  0.2500  0.7500 x4  4 La 2.79, 4 Au 2.79
Au  0.0000  0.0000  0.5000 x4  4 Ru 2.79


No. 17
First-principles (GGA-PBEsol) data for a geometry-optimized LaRuAu2 structure, as listed in Alexandria via LeMat-Bulk.

energy of formation	-1.0	eV per formula unit
size of the total moment	0.0	μB per cell
E	-6.08	eV/atom
mass density	14.03	g/cm3

abc: 4.0834 4.0834 4.4983
angles: 90.00 90.00 90.00
With the nearest neighbours (Å) after each atom.
Space group P4/mmm (No. 123)
Symmetry-distinct sites (fractional):
La  0.0000  0.0000  0.0000 x1  4 Ru 2.89, 8 Au 3.04
Ru  0.5000  0.5000  0.0000 x1  4 La 2.89, 8 Au 3.04
Au  0.0000  0.5000  0.5000 x2  4 Au 2.89, 4 La 3.04, 4 Ru 3.04


No. 18
First-principles (GGA-PBEsol) data for a geometry-optimized La2RuAu structure, as listed in Alexandria via LeMat-Bulk.

energy of formation	-1.8	eV per formula unit
size of the total moment	0.0	μB per cell
E	-6.66	eV/atom
mass density	9.83	g/cm3

abc: 4.3131 4.1372 10.8975
angles: 90.00 90.00 90.00
With the nearest neighbours (Å) after each atom.
Space group Amm2 (No. 38)
Symmetry-distinct sites (fractional):
La  0.0000  0.0000  0.0000 x2  4 Ru 2.99, 3 Au 3.08-3.16
La  0.5000  0.0000  0.2939 x2  1 Ru 2.43
Ru  0.5000  0.0000  0.5169 x2  1 La 2.43
Au  0.0000  0.0000  0.7099 x2  2 Ru 3.01, 7 La 3.08-3.16


No. 19
First-principles (GGA-PBEsol) data for a geometry-optimized LaRuAu2 structure, as listed in Alexandria via LeMat-Bulk.

energy of formation	-0.5	eV per formula unit
size of the total moment	0.0	μB per cell
E	-5.97	eV/atom
mass density	13.76	g/cm3

abc: 4.2634 4.2634 8.4159
angles: 90.00 90.00 90.00
With the nearest neighbours (Å) after each atom.
Space group I-4m2 (No. 119)
Symmetry-distinct sites (fractional):
La  0.0000  0.0000  0.0000 x2  4 Ru 3.00, 8 Au 3.00-3.01
Ru  0.0000  0.5000  0.7500 x2  4 La 3.00, 8 Au 3.00-3.01
Au  0.0000  0.0000  0.5000 x2  4 Ru 3.00, 4 Au 3.00, 4 La 3.01
Au  0.0000  0.5000  0.2500 x2  4 La 3.00, 4 Au 3.00, 4 Ru 3.01


No. 20
First-principles (GGA-PBEsol) data for a geometry-optimized LaTlRuAu2 structure, as listed in Alexandria via LeMat-Bulk.

energy of formation	4.3	eV per formula unit
size of the total moment	0.0	μB per cell
E	-4.35	eV/atom
mass density	9.44	g/cm3

abc: 5.6181 5.6181 4.6708
angles: 90.00 90.00 90.00
With the nearest neighbours (Å) after each atom.
Space group P4/mmm (No. 123)
Symmetry-distinct sites (fractional):
La  0.0000  0.0000  0.0000 x1  2 Ru 2.34
Tl  0.5000  0.5000  0.5000 x1  8 Au 3.65, 4 Ru 3.97
Ru  0.0000  0.0000  0.5000 x1  2 La 2.34
Au  0.0000  0.5000  0.0000 x2  2 La 2.81